# CeNdAgAu

A relaxed structure of CeNdAgAu (GGA-PBE, Alexandria via LeMat-Bulk).

Cell lengths 3.6883, 3.6883, 7.6058 Å; angles 90.00, 90.00, 90.00 degrees
Closest atoms and distances in Å follow each position.
Space group P4mm (No. 99)
Symmetry-distinct sites (fractional):
Ce 0.0000 0.0000 0.0000  4 Au 3.20, 4 Ag 3.28
Nd 0.0000 0.0000 0.4863  4 Au 3.20, 4 Ag 3.24
Ag 0.5000 0.5000 0.7395  4 Nd 3.24, 4 Ce 3.28
Au 0.5000 0.5000 0.2429  4 Ce 3.20, 4 Nd 3.20

DFT total energy in eV/atom: -4.622
Size of the total moment in μB/f.u.: 1.1
Energy above the most stable polymorph in this dataset in meV/atom: 0
ΔH_f (0 K) in eV/atom: -0.4149